{"formula": "Cd2SeCl", "functional": "PBE", "state": "relaxed", "lattice": [[4.134, 0.000, 0.000], [0.000, 4.134, 0.000], [0.000, 0.000, 5.763]], "species": ["Cd", "Cd", "Cl", "Se"], "frac_coords": [[0.000, 0.000, 0.875], [0.500, 0.500, 0.375], [0.000, 0.000, 0.375], [0.500, 0.500, 0.875]], "raw_formation_energy_ev_per_fu": -2.05, "relative_energy_ev_per_atom": 0.000}



{"formula": "AlFeSnRh2", "functional": "PBE", "state": "relaxed", "lattice": [[4.465, 0.000, 0.000], [0.000, 4.410, 0.000], [0.000, 0.000, 4.465]], "species": ["Al", "Rh", "Rh", "Sn", "Fe"], "frac_coords": [[0.000, 0.000, 0.000], [0.000, 0.000, 0.500], [0.500, 0.000, 0.000], [0.500, 0.500, 0.500], [0.000, 0.500, 0.000]], "formation_energy_kj_per_mol_atoms": 38}



{"formula": "CaY2Se4", "functional": "PBE", "state": "relaxed", "lattice": [[-3.640, 1.400, 1.166], [0.872, -6.239, 3.109], [5.942, 6.303, 10.982]], "species": ["Ca", "Ca", "Y", "Y", "Y", "Y", "Se", "Se", "Se", "Se", "Se", "Se", "Se", "Se"], "frac_coords": [[0.613, 0.227, 0.750], [0.387, 0.773, 0.250], [0.134, 0.269, 0.429], [0.866, 0.731, 0.929], [0.134, 0.269, 0.071], [0.866, 0.731, 0.571], [0.774, 0.548, 0.119], [0.774, 0.548, 0.381], [0.226, 0.452, 0.881], [0.226, 0.452, 0.619], [0.959, 0.919, 0.750], [0.041, 0.081, 0.250], [0.500, 0.000, 0.000], [0.500, 0.000, 0.500]], "raw_formation_energy_ev_per_fu": -13.39, "relative_energy_ev_per_atom": 0.013}



{"formula": "Tb4SiBr5", "functional": "PBE", "state": "relaxed", "lattice": [[-2.231, 1.150, -3.189], [1.953, -7.179, -3.955], [-6.489, -2.745, 6.133]], "species": ["Tb", "Tb", "Tb", "Tb", "Si", "Br", "Br", "Br", "Br", "Br"], "frac_coords": [[0.349, 0.921, 0.698], [0.999, 0.778, 0.999], [0.651, 0.079, 0.302], [0.001, 0.222, 0.001], [0.500, 0.000, 0.000], [0.833, 0.670, 0.666], [0.828, 0.161, 0.656], [0.172, 0.839, 0.344], [0.500, 0.500, 0.000], [0.167, 0.330, 0.334]], "raw_formation_energy_ev_per_fu": -14.71, "relative_energy_ev_per_atom": 0.000}



{"formula": "Dy2Ho5Ni4", "functional": "PBE", "state": "relaxed", "lattice": [[-1.887, -3.117, 1.101], [5.802, -4.513, -2.831], [-3.146, 8.317, 11.570]], "species": ["Dy", "Dy", "Ho", "Ho", "Ho", "Ho", "Ho", "Ni", "Ni", "Ni", "Ni"], "frac_coords": [[0.260, 0.842, 0.521], [0.740, 0.158, 0.479], [0.081, 0.548, 0.162], [0.919, 0.452, 0.838], [0.124, 0.138, 0.248], [0.500, 0.000, 0.000], [0.876, 0.862, 0.752], [0.644, 0.518, 0.288], [0.725, 0.498, 0.450], [0.356, 0.482, 0.712], [0.275, 0.502, 0.550]], "formation_energy_kj_per_mol_atoms": -23}



{"formula": "HoBiPd6", "functional": "PBE", "state": "relaxed", "lattice": [[-4.408, -2.100, -1.044], [0.443, -4.216, -2.637], [-0.790, -5.468, 4.857]], "species": ["Ho", "Bi", "Pd", "Pd", "Pd", "Pd", "Pd", "Pd"], "frac_coords": [[0.500, 0.500, 0.500], [0.000, 0.000, 0.000], [0.060, 0.539, 0.302], [0.539, 0.060, 0.302], [0.461, 0.940, 0.698], [0.940, 0.461, 0.698], [0.354, 0.354, 0.941], [0.646, 0.646, 0.059]], "relative_energy_ev_per_atom": 0.278, "formation_energy_kj_per_mol_atoms": -28}



{"formula": "Na2TiAg", "functional": "PBE", "state": "relaxed", "lattice": [[8.418, 0.000, 0.000], [0.000, 8.418, 0.000], [4.209, 4.209, 2.866]], "species": ["Na", "Na", "Na", "Na", "Ag", "Ag", "Ti", "Ti"], "frac_coords": [[0.658, 0.125, 0.250], [0.092, 0.625, 0.250], [0.375, 0.342, 0.750], [0.875, 0.908, 0.750], [0.000, 0.000, 0.000], [0.750, 0.250, 0.500], [0.500, 0.500, 0.000], [0.250, 0.750, 0.500]], "formation_energy_kj_per_mol_atoms": 66}



{"formula": "LaSc2Au2", "functional": "PBE", "state": "relaxed", "lattice": [[-2.078, 5.681, -5.681], [-7.683, 0.312, 3.122], [0.919, 2.362, 2.026]], "species": ["Sc", "Sc", "Sc", "Sc", "Au", "Au", "Au", "Au", "La", "La"], "frac_coords": [[0.358, 0.858, 0.000], [0.858, 0.642, 0.000], [0.642, 0.142, 0.000], [0.142, 0.358, 0.000], [0.152, 0.652, 0.500], [0.652, 0.848, 0.500], [0.848, 0.348, 0.500], [0.348, 0.152, 0.500], [0.000, 0.000, 0.000], [0.500, 0.500, 0.000]], "relative_energy_ev_per_atom": 0.033, "formation_energy_kj_per_mol_atoms": -56}



{"formula": "InTeSe2", "functional": "PBE", "state": "relaxed", "lattice": [[4.255, 0.016, 0.000], [-2.400, 3.514, 0.000], [0.000, 0.000, 8.041]], "species": ["In", "Se", "Se", "Te"], "frac_coords": [[0.500, 0.500, 0.750], [0.000, 0.000, 0.001], [0.000, 0.000, 0.499], [0.500, 0.500, 0.250]], "raw_formation_energy_ev_per_fu": -0.07, "relative_energy_ev_per_atom": 0.200}



{"formula": "Hf3ZrSb", "functional": "PBE", "state": "relaxed", "lattice": [[5.205, 0.000, 0.000], [0.000, 5.205, 0.000], [0.000, 0.000, 5.205]], "species": ["Sb", "Hf", "Hf", "Hf", "Zr"], "frac_coords": [[0.000, 0.000, 0.000], [0.000, 0.500, 0.000], [0.000, 0.000, 0.500], [0.500, 0.000, 0.000], [0.500, 0.500, 0.500]], "raw_formation_energy_ev_per_fu": 4.19, "relative_energy_ev_per_atom": 0.974}



{"formula": "Pb2Br", "functional": "PBE", "state": "relaxed", "lattice": [[-2.753, 3.623, 0.225], [-3.381, -2.457, -1.813], [-1.549, -1.481, 4.895]], "species": ["Pb", "Pb", "Br"], "frac_coords": [[0.000, 0.500, 0.500], [0.500, 0.000, 0.500], [0.000, 0.000, 0.000]], "raw_formation_energy_ev_per_fu": -0.33, "relative_energy_ev_per_atom": 0.163}



{"formula": "Y4Er8Mg", "functional": "PBE", "state": "relaxed", "lattice": [[0.043, -3.414, 3.617], [5.427, -0.729, 2.668], [3.239, 9.632, 12.472]], "species": ["Y", "Y", "Y", "Y", "Er", "Er", "Er", "Er", "Er", "Er", "Er", "Er", "Mg"], "frac_coords": [[0.361, 0.850, 0.427], [0.905, 0.376, 0.815], [0.127, 0.628, 0.119], [0.670, 0.153, 0.506], [0.051, 0.549, 0.349], [0.434, 0.938, 0.194], [0.598, 0.065, 0.740], [0.981, 0.454, 0.585], [0.745, 0.238, 0.272], [0.214, 0.681, 0.891], [0.287, 0.765, 0.662], [0.817, 0.322, 0.043], [0.516, 0.002, 0.967]], "formation_energy_kj_per_mol_atoms": 3}



{"formula": "Rb2CdSn5", "functional": "PBE", "state": "relaxed", "lattice": [[5.765, 0.000, -3.153], [-1.725, 5.501, -3.153], [0.760, 1.035, 8.236]], "species": ["Rb", "Rb", "Cd", "Sn", "Sn", "Sn", "Sn", "Sn"], "frac_coords": [[0.722, 0.222, 0.443], [0.222, 0.722, 0.443], [0.090, 0.090, 0.180], [0.702, 0.702, 0.948], [0.702, 0.246, 0.948], [0.246, 0.702, 0.948], [0.246, 0.246, 0.948], [0.847, 0.847, 0.694]], "formation_energy_kj_per_mol_atoms": -10}